# 1
Here is LiAcLaTe3 after structural relaxation from Alexandria via LeMat-Bulk. Energies are from PBE.

DOS at the Fermi energy = 0.50 states/eV/atom
ΔE_f (raw) = -1.419 eV per atom

a b c (Å): 4.4750 9.4982 9.8567
angles (deg): 103.05 90.00 90.00
Fractional coordinates of all 12 atoms:
1 Li 0.2500 0.0851 0.5860
2 Li 0.7500 0.9149 0.4140
3 Ac 0.2500 0.1824 0.2281
4 Ac 0.7500 0.8176 0.7719
5 La 0.2500 0.6630 0.1589
6 La 0.7500 0.3370 0.8411
7 Te 0.7500 0.9053 0.1298
8 Te 0.2500 0.0947 0.8702
9 Te 0.2500 0.7853 0.4989
10 Te 0.7500 0.2147 0.5011
11 Te 0.7500 0.4275 0.1812
12 Te 0.2500 0.5725 0.8188

=====

# 2
Here is CeO2 after structural relaxation from Alexandria via LeMat-Bulk. Energies are from PBE.

DOS at the Fermi energy = 0.53 states/eV/atom
ΔE_f (raw) = -2.691 eV per atom

a b c (Å): 4.1009 4.1009 4.1009
angles (deg): 132.14 132.14 70.02
Site moments in Bohr magnetons follow the coordinates.
Fractional coordinates of all 3 atoms:
1 O 0.6647 0.6647 0.0000  0.01
2 O 0.3353 0.3353 0.0000  0.01
3 Ce 0.0000 0.0000 0.0000  -0.09